[1]
# MnAg

A relaxed MnAg crystal (GGA-PBE, Alexandria).

Output
* SG: R-3m, No. 166
* E_form: 382 meV per atom
* size of the total moment: 4.02 Bohr magnetons per cell
* calculated volume: 16.7 Å³/atom

Unit cell a=4.878 b=4.878 c=4.878 alpha=34.59 beta=34.59 gamma=34.59
Site moments in Bohr magnetons follow the coordinates.
Atoms (fractional coordinates):
Ag1 0.000 0.000 0.000  0.06
Mn1 0.500 0.500 0.500  3.77

[2]
# MnReBi3

A relaxed MnReBi3 crystal (GGA-PBE, Alexandria).

Output
* SG: Pm-3m, No. 221
* excess energy over the best structure of this formula in the dataset: 0.00 kcal/mol of atoms
* E_form: 1114 meV per atom
* size of the total moment: 4.85 Bohr magnetons per cell
* calculated volume: 30.8 Å³/atom

Unit cell a=5.357 b=5.357 c=5.357 alpha=90.00 beta=90.00 gamma=90.00
Site moments in Bohr magnetons follow the coordinates.
Atoms (fractional coordinates):
Bi1 0.000 0.000 0.500  -0.01
Bi2 0.000 0.500 0.000  -0.06
Bi3 0.500 0.000 0.000  -0.03
Re1 0.000 0.000 0.000  0.08
Mn1 0.500 0.500 0.500  4.40

[3]
# ScTeCl2

A relaxed ScTeCl2 crystal (GGA-PBE, Alexandria).

Output
* SG: P4mm, No. 99
* excess energy over the best structure of this formula in the dataset: 11.17 kcal/mol of atoms
* size of the total moment: 0.00 Bohr magnetons per cell
* formation energy from raw total energies: -396 kJ/mol of formula units
* calculated volume: 26.3 Å³/atom

Unit cell a=3.567 b=3.567 c=8.259 alpha=90.00 beta=90.00 gamma=90.00
Atoms (fractional coordinates):
Te1 0.500 0.500 0.698
Sc1 0.000 0.000 0.395
Cl1 0.000 0.000 0.106
Cl2 0.500 0.500 0.301

[4]
# SnMo3S

A relaxed SnMo3S crystal (GGA-PBE, Alexandria).

Output
* SG: Pm-3m, No. 221
* excess energy over the best structure of this formula in the dataset: 0.00 kcal/mol of atoms
* size of the total moment: 0.00 Bohr magnetons per cell
* formation energy from raw total energies: 174 kJ/mol of formula units
* calculated volume: 17.8 Å³/atom

Unit cell a=4.462 b=4.462 c=4.462 alpha=90.00 beta=90.00 gamma=90.00
Atoms (fractional coordinates):
Mo1 0.000 0.500 0.000
Mo2 0.500 0.000 0.000
Mo3 0.000 0.000 0.500
S1 0.000 0.000 0.000
Sn1 0.500 0.500 0.500

[5]
# Bi3Se2ClO8

A relaxed Bi3Se2ClO8 crystal (GGA-PBE, Alexandria).

Output
* SG: Pmmn, No. 59
* size of the total moment: 0.00 Bohr magnetons per cell
* formation energy from raw total energies: -1101 kJ/mol of formula units
* calculated volume: 25.6 Å³/atom

Unit cell a=7.468 b=8.819 c=10.881 alpha=90.00 beta=90.00 gamma=90.00
Atoms (fractional coordinates):
O1 0.186 0.764 0.673
O2 0.000 0.969 0.136
O3 0.500 0.031 0.364
O4 0.500 0.399 0.657
O5 0.500 0.399 0.343
O6 0.500 0.031 0.636
O7 0.814 0.764 0.327
O8 0.314 0.236 0.173
O9 0.314 0.236 0.827
O10 0.814 0.764 0.673
O11 0.186 0.764 0.327
O12 0.686 0.236 0.827
O13 0.686 0.236 0.173
O14 0.000 0.601 0.843
O15 0.000 0.601 0.157
O16 0.000 0.969 0.864
Cl1 0.500 0.892 0.000
Cl2 0.000 0.108 0.500
Bi1 0.250 0.000 0.250
Bi2 0.000 0.775 0.000
Bi3 0.750 0.000 0.250
Bi4 0.500 0.225 0.500
Bi5 0.750 0.000 0.750
Bi6 0.250 0.000 0.750
Se1 0.500 0.354 0.813
Se2 0.500 0.354 0.187
Se3 0.000 0.646 0.687
Se4 0.000 0.646 0.313

[6]
# Hf2UAl

A relaxed Hf2UAl crystal (GGA-PBE, Alexandria).

Output
* SG: P4/mmm, No. 123
* excess energy over the best structure of this formula in the dataset: 0.96 kcal/mol of atoms
* E_form: 7 meV per atom
* size of the total moment: 1.72 Bohr magnetons per cell
* calculated volume: 20.7 Å³/atom

Unit cell a=4.039 b=4.527 c=4.527 alpha=90.00 beta=90.00 gamma=90.00
Site moments in Bohr magnetons follow the coordinates.
Atoms (fractional coordinates):
Hf1 0.000 0.500 0.000  -0.09
Hf2 0.000 0.000 0.500  -0.09
Al1 0.500 0.500 0.500  0.01
U1 0.500 0.000 0.000  -1.43

[7]
# Li2CoAg

A relaxed Li2CoAg crystal (GGA-PBE, Alexandria).

Output
* SG: Imm2, No. 44
* E_form: 186 meV per atom
* size of the total moment: 1.33 Bohr magnetons per cell
* calculated volume: 14.2 Å³/atom

Unit cell a=5.299 b=5.299 c=5.299 alpha=150.11 beta=129.49 gamma=59.80
Site moments in Bohr magnetons follow the coordinates.
Atoms (fractional coordinates):
Li1 0.007 0.007 0.000  -0.03
Li2 0.749 0.249 0.500  -0.03
Co1 0.247 0.747 0.500  1.51
Ag1 0.497 0.497 0.000  -0.01

[8]
# SmDy6Th12

A relaxed SmDy6Th12 crystal (GGA-PBE, Alexandria).

Output
* SG: R-3m, No. 166
* E_form: 246 meV per atom
* size of the total moment: 0.00 Bohr magnetons per cell
* calculated volume: 33.4 Å³/atom

Unit cell a=8.732 b=8.732 c=8.732 alpha=99.59 beta=99.59 gamma=99.59
Atoms (fractional coordinates):
Sm1 0.000 0.000 0.000
Th1 0.247 0.753 0.500
Th2 0.753 0.500 0.247
Th3 0.917 0.650 0.650
Th4 0.500 0.247 0.753
Th5 0.753 0.247 0.500
Th6 0.350 0.083 0.350
Th7 0.650 0.917 0.650
Th8 0.247 0.500 0.753
Th9 0.083 0.350 0.350
Th10 0.500 0.753 0.247
Th11 0.650 0.650 0.917
Th12 0.350 0.350 0.083
Dy1 0.100 0.100 0.660
Dy2 0.900 0.900 0.340
Dy3 0.660 0.100 0.100
Dy4 0.340 0.900 0.900
Dy5 0.100 0.660 0.100
Dy6 0.900 0.340 0.900

[9]
# BeBIr

A relaxed BeBIr crystal (GGA-PBE, Alexandria).

Output
* SG: P3m1, No. 156
* excess energy over the best structure of this formula in the dataset: 3.97 kcal/mol of atoms
* E_form: -174 meV per atom
* size of the total moment: 0.00 Bohr magnetons per cell
* calculated volume: 10.5 Å³/atom

Unit cell a=2.820 b=3.591 c=3.591 alpha=120.00 beta=90.00 gamma=90.00
Atoms (fractional coordinates):
Ir1 0.833 0.667 0.333
Be1 0.332 0.333 0.667
B1 0.835 0.000 0.000

[10]
# DyAl4Ag

A relaxed DyAl4Ag crystal (GGA-PBE, Alexandria).

Output
* SG: F-43m, No. 216
* excess energy over the best structure of this formula in the dataset: 0.19 kcal/mol of atoms
* E_form: -153 meV per atom
* size of the total moment: 0.00 Bohr magnetons per cell
* calculated volume: 19.3 Å³/atom

Unit cell a=5.474 b=5.474 c=5.474 alpha=60.00 beta=60.00 gamma=60.00
Atoms (fractional coordinates):
Al1 0.626 0.626 0.122
Al2 0.626 0.122 0.626
Al3 0.626 0.626 0.626
Al4 0.122 0.626 0.626
Dy1 0.000 0.000 0.000
Ag1 0.250 0.250 0.250

[11]
# SrSmH8Pt2

A relaxed SrSmH8Pt2 crystal (GGA-PBE, Alexandria).

Output
* SG: R-3m, No. 166
* VASP energy: -49.1 eV for the cell shown
* size of the total moment: 0.00 Bohr magnetons per cell
* calculated volume: 11.1 Å³/atom

Unit cell a=4.844 b=4.844 c=7.106 alpha=70.07 beta=70.07 gamma=60.00
Atoms (fractional coordinates):
H1 0.453 0.453 0.188
H2 0.907 0.453 0.188
H3 0.547 0.547 0.812
H4 0.453 0.907 0.188
H5 0.093 0.547 0.812
H6 0.854 0.854 0.438
H7 0.547 0.093 0.812
H8 0.146 0.146 0.562
Pt1 0.768 0.768 0.695
Pt2 0.232 0.232 0.305
Sm1 0.500 0.500 0.500
Sr1 0.000 0.000 0.000

[12]
# Sr4NdY3Se8

A relaxed Sr4NdY3Se8 crystal (GGA-PBE, Alexandria).

Output
* SG: R-3m, No. 166
* size of the total moment: 0.00 Bohr magnetons per cell
* formation energy from raw total energies: -2932 kJ/mol of formula units
* calculated volume: 27.5 Å³/atom

Unit cell a=8.459 b=8.609 c=8.460 alpha=119.43 beta=120.00 gamma=90.00
Atoms (fractional coordinates):
Sr1 0.500 0.000 0.000
Sr2 0.000 0.000 0.000
Sr3 0.000 0.000 0.500
Sr4 0.500 0.000 0.500
Se1 0.739 0.735 0.987
Se2 0.248 0.735 0.987
Se3 0.257 0.269 0.513
Se4 0.248 0.734 0.496
Se5 0.752 0.266 0.504
Se6 0.743 0.731 0.487
Se7 0.752 0.265 0.013
Se8 0.261 0.265 0.013
Nd1 0.000 0.500 0.000
Y1 0.500 0.500 0.500
Y2 0.000 0.500 0.500
Y3 0.500 0.500 0.000

What did the fifth record say?
# Bi3Se2ClO8

A relaxed Bi3Se2ClO8 crystal (GGA-PBE, Alexandria).

Output
* SG: Pmmn, No. 59
* size of the total moment: 0.00 Bohr magnetons per cell
* formation energy from raw total energies: -1101 kJ/mol of formula units
* calculated volume: 25.6 Å³/atom

Unit cell a=7.468 b=8.819 c=10.881 alpha=90.00 beta=90.00 gamma=90.00
Atoms (fractional coordinates):
O1 0.186 0.764 0.673
O2 0.000 0.969 0.136
O3 0.500 0.031 0.364
O4 0.500 0.399 0.657
O5 0.500 0.399 0.343
O6 0.500 0.031 0.636
O7 0.814 0.764 0.327
O8 0.314 0.236 0.173
O9 0.314 0.236 0.827
O10 0.814 0.764 0.673
O11 0.186 0.764 0.327
O12 0.686 0.236 0.827
O13 0.686 0.236 0.173
O14 0.000 0.601 0.843
O15 0.000 0.601 0.157
O16 0.000 0.969 0.864
Cl1 0.500 0.892 0.000
Cl2 0.000 0.108 0.500
Bi1 0.250 0.000 0.250
Bi2 0.000 0.775 0.000
Bi3 0.750 0.000 0.250
Bi4 0.500 0.225 0.500
Bi5 0.750 0.000 0.750
Bi6 0.250 0.000 0.750
Se1 0.500 0.354 0.813
Se2 0.500 0.354 0.187
Se3 0.000 0.646 0.687
Se4 0.000 0.646 0.313

> The highest calculated volume belongs to which entry?

SmDy6Th12